No. 1
KZn2BS4 (PBE, optimized geometry); E_tot = -0.1488 hartree per atom; total magnetic moment = 0.0 μB per formula unit; V = 155.3 Å³/cell; crystal system = orthorhombic; energy relative to the elements, uncorrected = -0.694 eV/atom; SG = No. 42
1.0
0.0000 4.3109 4.1803
4.3085 0.0000 4.1803
4.3085 4.3109 0.0000
K Zn B S
1 2 1 4
direct
0.0000 0.0000 0.0000
0.2494 0.2494 0.2506
0.7494 0.7494 0.7506
0.4993 0.4993 0.5007
0.1838 0.5533 0.8162
0.4456 0.8148 0.1852
0.5533 0.1838 0.4467
0.8148 0.4456 0.5544



No. 2
Zn4FeW (PBE, optimized geometry); energy relative to the elements = 1.80 eV/f.u.; E_tot = -0.1514 hartree per atom; total magnetic moment = 2.4 μB per formula unit; V = 83.1 Å³/cell; crystal system = cubic; SG = No. 216
1.0
0.0000 3.4640 3.4640
3.4640 0.0000 3.4640
3.4640 3.4640 0.0000
Zn Fe W
4 1 1
direct
0.1254 0.1254 0.1254
0.1254 0.1254 0.6239
0.1254 0.6239 0.1254
0.6239 0.1254 0.1254
0.7500 0.7500 0.7500
0.5000 0.5000 0.5000



No. 3
La3Rh (PBE, optimized geometry); energy relative to the elements = -0.52 eV/f.u.; E_tot = -0.2081 hartree per atom; total magnetic moment = 0.0 μB per formula unit; V = 452.0 Å³/cell; crystal system = hexagonal; SG = No. 194
1.0
7.4241 0.0000 0.0000
-3.7120 6.4294 0.0000
0.0000 0.0000 9.4690
La Rh
12 4
direct
0.0000 0.5000 0.0000
0.0000 0.5000 0.5000
0.1459 0.2917 0.2500
0.1459 0.8541 0.2500
0.2917 0.1459 0.7500
0.5000 0.0000 0.0000
0.5000 0.0000 0.5000
0.5000 0.5000 0.0000
0.5000 0.5000 0.5000
0.7083 0.8541 0.2500
0.8541 0.1459 0.7500
0.8541 0.7083 0.7500
0.0000 0.0000 0.0000
0.0000 0.0000 0.5000
0.3333 0.6667 0.7500
0.6667 0.3333 0.2500



No. 4
Cs2NpBr5Cl (PBE, optimized geometry); E_tot = -0.1613 hartree per atom; total magnetic moment = 3.0 μB per formula unit; V = 365.6 Å³/cell; crystal system = tetragonal; energy relative to the elements, uncorrected = -1.628 eV/atom; SG = No. 107
1.0
-4.0243 4.0243 5.6439
4.0243 -4.0243 5.6439
4.0243 4.0243 -5.6439
Cs Np Br Cl
2 1 5 1
direct
0.0000 0.5000 0.5000
0.5000 0.0000 0.5000
0.2487 0.2487 0.0000
0.0062 0.0062 0.5116
0.0062 0.4945 0.0000
0.4945 0.0062 0.0000
0.4947 0.4947 0.0000
0.4945 0.4945 0.4884
0.0188 0.0188 0.0000